Tm2Al2Ge3 after structural relaxation, computed with PBE.

POSCAR file:
```
Tm2Al2Ge3
1.0
4.052 0.000 0.898
1.897 7.448 1.029
-0.011 -0.214 9.636
Tm Al Ge
4 4 6
direct
0.268 0.130 0.334
0.732 0.870 0.666
0.406 0.246 0.943
0.594 0.754 0.057
0.052 0.207 0.690
0.948 0.793 0.310
0.404 0.525 0.667
0.596 0.475 0.333
0.096 0.933 0.876
0.904 0.067 0.124
0.167 0.493 0.173
0.833 0.507 0.827
0.383 0.769 0.466
0.617 0.231 0.534
```

Output
DFT formation energy: -517 meV per atom
calculated volume: 20.82 Å³ per atom
offset from the most stable computed form: 0 meV/atom
total magnetic moment: 0.00 μB/cell
Fermi-level density of states: 6.2 states/eV per cell